# PBE+U K3Li2CrF9, optimized geometry
data_K3Li2CrF9
_chemical_formula_sum 'K3 Li2 Cr1 F9'
_cell_length_a 5.7616
_cell_length_b 5.7616
_cell_length_c 7.1971
_cell_angle_alpha 90.00
_cell_angle_beta 90.00
_cell_angle_gamma 120.00
_space_group_name_H-M_alt 'P -3 m 1'
_space_group_IT_number 164
_space_group_name_Hall '-P 3 2"'
loop_
_atom_site_label
_atom_site_type_symbol
_atom_site_fract_x
_atom_site_fract_y
_atom_site_fract_z
K1 K 0.0000 0.0000 0.0000
K2 K 0.3333 0.6667 0.6964
Li1 Li 0.3333 0.6667 0.1295
Cr1 Cr 0.0000 0.0000 0.5000
F1 F 0.0000 0.5000 0.0000
F2 F 0.1550 0.3099 0.3500
# raw total energy	-0.177	hartree per atom
# crystal system	trigonal
# theoretical density	2.842	Mg/m³